VASP calculation (PBE) on a geometry-optimized Hg4AsI2 structure.

Structure (POSCAR):
```
Hg4AsI2
1.0
5.387 0.000 0.000
0.000 5.245 -1.883
0.000 -0.214 7.650
I As Hg
2 1 4
direct
0.500 0.352 0.705 I
0.500 0.648 0.295 I
0.000 0.000 0.000 As
0.000 0.500 0.000 Hg
0.500 0.000 0.000 Hg
0.000 0.197 0.395 Hg
0.000 0.803 0.605 Hg
```

Computed properties:
Energy above the most stable polymorph in this dataset (meV/atom): 42
Symmetry: Cmmm (65)
Fermi-level density of states (states/eV/cell): 1.59
Uncorrected formation energy (eV/atom): -0.027
Total moment (μB/atom): 0.000
Total energy (eV/atom): -1.306